LiFePO4: optimized geometry, GGA+U.

The value obtained for the density of states at the Fermi level is 0.0 states/eV/cell. The relative energy among the computed polymorphs comes out at 45 meV/atom. For the total energy, the calculation gives -190.064 eV/cell.

The structure in CIF format:
```
data_LiFePO4
_chemical_formula_sum 'Li4 Fe4 P4 O16'
_cell_length_a 11.433
_cell_length_b 6.033
_cell_length_c 5.068
_cell_angle_alpha 90.00
_cell_angle_beta 90.00
_cell_angle_gamma 90.00
_space_group_name_H-M_alt 'P n a 21'
_space_group_IT_number 33
loop_
_space_group_symop_operation_xyz
'x,y,z'
'-x,-y,z+1/2'
'-x+1/2,y+1/2,z+1/2'
'x+1/2,-y+1/2,z'
loop_
_atom_site_label
_atom_site_type_symbol
_atom_site_fract_x
_atom_site_fract_y
_atom_site_fract_z
Li1 Li 0.063 0.213 0.000
Fe1 Fe 0.166 0.460 0.497
P1 P 0.089 0.729 0.006
O1 O 0.037 0.242 0.391
O2 O 0.083 0.713 0.311
O3 O 0.147 0.513 0.899
O4 O 0.161 0.940 0.930
```